(1)
A relaxed TlAsP2 crystal, computed with GGA-PBE.

Output
DOS at the Fermi energy, states/eV/atom: 0.597
Magnetic moment, μB/cell: 0.00

a b c (Å): 3.220 5.740 9.432
angles (deg): 90.00 90.00 90.00
Space group Cmm2 (No. 35)
Symmetry-distinct sites (fractional):
Tl  0.000  0.000  0.000 [2 per cell]
As  0.000  0.500  0.298 [2 per cell]
P  0.000  0.000  0.521 [2 per cell]
P  0.000  0.500  0.680 [2 per cell]

---

(2)
A relaxed TlAsP2 crystal, computed with GGA-PBE.

Output
DOS at the Fermi energy, states/eV/atom: 0.233
Magnetic moment, μB/cell: 0.00

a b c (Å): 3.806 4.321 5.839
angles (deg): 90.00 97.56 90.00
Space group Pm (No. 6)
Symmetry-distinct sites (fractional):
Tl  0.000  0.000  0.000 [1 per cell]
As  0.663  0.500  0.336 [1 per cell]
P  0.208  0.500  0.593 [1 per cell]
P  0.456  0.000  0.560 [1 per cell]

---

(3)
A relaxed TlAsP2 crystal, computed with GGA-PBE.

Output
DOS at the Fermi energy, states/eV/atom: 0.858
Magnetic moment, μB/cell: 0.00

a b c (Å): 6.684 6.718 3.498
angles (deg): 90.00 90.00 90.00
Space group Cmmm (No. 65)
Symmetry-distinct sites (fractional):
Tl  0.000  0.000  0.000 [2 per cell]
As  0.000  0.500  0.000 [2 per cell]
P  0.250  0.250  0.500 [4 per cell]

---

(4)
A relaxed TlAsP2 crystal, computed with GGA-PBE.

Output
DOS at the Fermi energy, states/eV/atom: 0.635
Magnetic moment, μB/cell: 0.00

a b c (Å): 3.841 3.841 11.207
angles (deg): 90.00 90.00 90.00
Space group I-4m2 (No. 119)
Symmetry-distinct sites (fractional):
Tl  0.000  0.000  0.000 [2 per cell]
As  0.000  0.500  0.750 [2 per cell]
P  0.000  0.000  0.500 [2 per cell]
P  0.000  0.500  0.250 [2 per cell]

---

If we sort the structures by their calculated energies, the order from most to least stable is (2), (1), (4), (3).

---

(1)
A relaxed TlAsP2 crystal, computed with GGA-PBE.

Output
DOS at the Fermi energy, states/eV/atom: 0.235
Magnetic moment, μB/cell: 0.00

a b c (Å): 3.386 3.977 6.609
angles (deg): 90.00 90.00 90.00
Space group Pmmm (No. 47)
Symmetry-distinct sites (fractional):
Tl  0.000  0.000  0.000 [1 per cell]
As  0.000  0.000  0.500 [1 per cell]
P  0.500  0.500  0.339 [2 per cell]

---

(2)
A relaxed TlAsP2 crystal, computed with GGA-PBE.

Output
DOS at the Fermi energy, states/eV/atom: 0.296
Magnetic moment, μB/cell: 0.00

a b c (Å): 5.662 5.662 13.176
angles (deg): 90.00 90.00 90.00
Space group I-42d (No. 122)
Symmetry-distinct sites (fractional):
Tl  0.000  0.000  0.000 [4 per cell]
As  0.000  0.000  0.500 [4 per cell]
P  0.212  0.250  0.625 [8 per cell]

---

If we sort the structures by their calculated energies, the order from most to least stable is (1), (2).

---

(1)
A relaxed TlAsP2 crystal, computed with GGA-PBE.

Output
DOS at the Fermi energy, states/eV/atom: 0.260
Magnetic moment, μB/cell: 0.00

a b c (Å): 3.201 5.111 6.022
angles (deg): 90.00 90.45 90.00
Space group P2/m (No. 10)
Symmetry-distinct sites (fractional):
Tl  0.000  0.000  0.000 [1 per cell]
As  0.500  0.000  0.500 [1 per cell]
P  0.254  0.500  0.624 [2 per cell]

---

(2)
A relaxed TlAsP2 crystal, computed with GGA-PBE.

Output
DOS at the Fermi energy, states/eV/atom: 0.615
Magnetic moment, μB/cell: 0.00

a b c (Å): 6.777 6.777 6.777
angles (deg): 90.00 90.00 90.00
Space group F-43m (No. 216)
Symmetry-distinct sites (fractional):
Tl  0.000  0.000  0.000 [4 per cell]
As  0.250  0.250  0.250 [4 per cell]
P  0.000  0.000  0.500 [4 per cell]
P  0.250  0.250  0.750 [4 per cell]

---

If we sort the structures by their calculated energies, the order from most to least stable is (1), (2).

---

(1)
A relaxed TlAsP2 crystal, computed with GGA-PBE.

Output
DOS at the Fermi energy, states/eV/atom: 0.609
Magnetic moment, μB/cell: 0.00

a b c (Å): 3.8013 3.8013 19.6072
angles (deg): 90.00 90.00 120.00
Space group R-3m (No. 166, hexagonal axes)
Symmetry-distinct sites (fractional):
Tl  0.0000  0.0000  0.0000 [3 per cell]
As  0.0000  0.0000  0.5000 [3 per cell]
P  0.0000  0.0000  0.2379 [6 per cell]

---

(2)
A relaxed TlAsP2 crystal, computed with GGA-PBE.

Output
DOS at the Fermi energy, states/eV/atom: 0.559
Magnetic moment, μB/cell: 0.00

a b c (Å): 6.776 6.776 6.776
angles (deg): 90.00 90.00 90.00
Space group Fm-3m (No. 225)
Symmetry-distinct sites (fractional):
Tl  0.000  0.000  0.000 [4 per cell]
As  0.000  0.000  0.500 [4 per cell]
P  0.250  0.250  0.250 [8 per cell]

---

(3)
A relaxed TlAsP2 crystal, computed with GGA-PBE.

Output
DOS at the Fermi energy, states/eV/atom: 0.213
Magnetic moment, μB/cell: 0.00

a b c (Å): 3.175 3.175 8.882
angles (deg): 90.00 90.00 90.00
Space group P4mm (No. 99)
Symmetry-distinct sites (fractional):
Tl  0.000  0.000  0.000 [1 per cell]
As  0.500  0.500  0.301 [1 per cell]
P  0.000  0.000  0.644 [1 per cell]
P  0.500  0.500  0.567 [1 per cell]

---

If we sort the structures by their calculated energies, the order from most to least stable is (3), (1), (2).

---

(1)
A relaxed TlAsP2 crystal, computed with GGA-PBE.

Output
DOS at the Fermi energy, states/eV/atom: 0.418
Magnetic moment, μB/cell: 0.00

a b c (Å): 3.563 3.718 6.905
angles (deg): 90.00 90.00 90.00
Space group Pmm2 (No. 25)
Symmetry-distinct sites (fractional):
Tl  0.000  0.000  0.000 [1 per cell]
As  0.500  0.500  0.565 [1 per cell]
P  0.000  0.000  0.467 [1 per cell]
P  0.500  0.500  0.231 [1 per cell]

---

(2)
A relaxed TlAsP2 crystal, computed with GGA-PBE.

Output
DOS at the Fermi energy, states/eV/atom: 0.741
Magnetic moment, μB/cell: 0.00

a b c (Å): 3.775 3.857 5.722
angles (deg): 90.00 90.00 90.00
Space group Pmmm (No. 47)
Symmetry-distinct sites (fractional):
Tl  0.000  0.000  0.000 [1 per cell]
As  0.000  0.500  0.500 [1 per cell]
P  0.500  0.000  0.500 [1 per cell]
P  0.500  0.500  0.000 [1 per cell]

---

(3)
A relaxed TlAsP2 crystal, computed with GGA-PBE.

Output
DOS at the Fermi energy, states/eV/atom: 0.539
Magnetic moment, μB/cell: 0.00

a b c (Å): 3.181 5.886 9.524
angles (deg): 90.00 90.00 90.00
Space group Imm2 (No. 44)
Symmetry-distinct sites (fractional):
Tl  0.000  0.000  0.000 [2 per cell]
As  0.000  0.500  0.822 [2 per cell]
P  0.000  0.000  0.529 [2 per cell]
P  0.000  0.500  0.190 [2 per cell]

---

If we sort the structures by their calculated energies, the order from most to least stable is (3), (1), (2).

---

(1)
A relaxed UAsP crystal, computed with GGA-PBE.

Output
DOS at the Fermi energy, states/eV/atom: 1.476
Magnetic moment, μB/cell: 3.06

a b c (Å): 3.860 3.860 7.967
angles (deg): 90.00 90.00 90.00
Space group P4/nmm (No. 129, origin choice 2)
Symmetry-distinct sites (fractional):
U  0.250  0.250  0.204 [2 per cell]
As  0.250  0.750  0.500 [2 per cell]
P  0.250  0.250  0.857 [2 per cell]

---

(2)
A relaxed UAsP crystal, computed with GGA-PBE.

Output
DOS at the Fermi energy, states/eV/atom: 1.280
Magnetic moment, μB/cell: 0.00

a b c (Å): 4.3933 4.3933 3.7403
angles (deg): 90.00 90.00 120.00
Space group P3m1 (No. 156)
Symmetry-distinct sites (fractional):
U  0.0000  0.0000  0.0000 [1 per cell]
As  0.6667  0.3333  0.5274 [1 per cell]
P  0.3333  0.6667  0.1107 [1 per cell]

---

(3)
A relaxed UAsP crystal, computed with GGA-PBE.

Output
DOS at the Fermi energy, states/eV/atom: 1.209
Magnetic moment, μB/cell: 6.13

a b c (Å): 7.784 11.043 13.633
angles (deg): 90.00 90.00 90.00
Space group Fddd (No. 70, origin choice 2)
Symmetry-distinct sites (fractional):
U  0.125  0.337  0.125 [16 per cell]
As  0.125  0.125  0.011 [16 per cell]
P  0.000  0.000  0.500 [16 per cell]

---

If we sort the structures by their calculated energies, the order from most to least stable is (1), (2), (3).

---

(1)
A relaxed V3AsP crystal, computed with GGA-PBE.

Output
DOS at the Fermi energy, states/eV/atom: 1.354
Magnetic moment, μB/cell: 1.55

a b c (Å): 4.334 4.334 4.334
angles (deg): 90.00 90.00 90.00
Space group Pm-3m (No. 221)
Symmetry-distinct sites (fractional):
V  0.000  0.000  0.500 [3 per cell]
As  0.500  0.500  0.500 [1 per cell]
P  0.000  0.000  0.000 [1 per cell]

---

(2)
A relaxed V3AsP crystal, computed with GGA-PBE.

Output
DOS at the Fermi energy, states/eV/atom: 0.629
Magnetic moment, μB/cell: 0.00

a b c (Å): 11.588 4.488 5.300
angles (deg): 90.00 90.33 90.00
Space group C2/m (No. 12)
Symmetry-distinct sites (fractional):
V  0.013  0.000  0.242 [4 per cell]
V  0.099  0.500  0.857 [4 per cell]
V  0.187  0.000  0.490 [4 per cell]
As  0.186  0.000  0.973 [4 per cell]
P  0.104  0.500  0.389 [4 per cell]

---

If we sort the structures by their calculated energies, the order from most to least stable is (2), (1).

---

(1)
A relaxed VAsP3 crystal, computed with GGA-PBE.

Output
DOS at the Fermi energy, states/eV/atom: 1.076
Magnetic moment, μB/cell: 0.00

a b c (Å): 4.536 4.536 4.536
angles (deg): 90.00 90.00 90.00
Space group Pm-3m (No. 221)
Symmetry-distinct sites (fractional):
V  0.000  0.000  0.000 [1 per cell]
As  0.500  0.500  0.500 [1 per cell]
P  0.000  0.000  0.500 [3 per cell]

---

(2)
A relaxed VAsP3 crystal, computed with GGA-PBE.

Output
DOS at the Fermi energy, states/eV/atom: 1.363
Magnetic moment, μB/cell: 2.93

a b c (Å): 4.640 4.640 4.640
angles (deg): 90.00 90.00 90.00
Space group Pm-3m (No. 221)
Symmetry-distinct sites (fractional):
V  0.000  0.000  0.000 [1 per cell]
As  0.500  0.500  0.500 [1 per cell]
P  0.000  0.500  0.500 [3 per cell]

---

If we sort the structures by their calculated energies, the order from most to least stable is (1), (2).

---

(1)
A relaxed As3PW crystal, computed with GGA-PBE.

Output
DOS at the Fermi energy, states/eV/atom: 0.905
Magnetic moment, μB/cell: 0.67

a b c (Å): 4.875 4.875 4.875
angles (deg): 90.00 90.00 90.00
Space group Pm-3m (No. 221)
Symmetry-distinct sites (fractional):
As  0.000  0.000  0.500 [3 per cell]
P  0.500  0.500  0.500 [1 per cell]
W  0.000  0.000  0.000 [1 per cell]

---

(2)
A relaxed As3PW crystal, computed with GGA-PBE.

Output
DOS at the Fermi energy, states/eV/atom: 1.652
Magnetic moment, μB/cell: 0.00

a b c (Å): 4.580 4.580 4.580
angles (deg): 90.00 90.00 90.00
Space group Pm-3m (No. 221)
Symmetry-distinct sites (fractional):
As  0.000  0.000  0.500 [3 per cell]
P  0.000  0.000  0.000 [1 per cell]
W  0.500  0.500  0.500 [1 per cell]

---

If we sort the structures by their calculated energies, the order from most to least stable is (1), (2).

---

(1)
A relaxed Y2AsP2 crystal, computed with GGA-PBE.

Output
DOS at the Fermi energy, states/eV/atom: 0.527
Magnetic moment, μB/cell: 0.00

a b c (Å): 7.473 7.473 3.777
angles (deg): 90.00 90.00 90.00
Space group P4/mbm (No. 127)
Symmetry-distinct sites (fractional):
Y  0.161  0.339  0.000 [4 per cell]
As  0.000  0.000  0.500 [2 per cell]
P  0.149  0.649  0.500 [4 per cell]

---

(2)
A relaxed Y2AsP2 crystal, computed with GGA-PBE.

Output
DOS at the Fermi energy, states/eV/atom: 0.360
Magnetic moment, μB/cell: 0.00

a b c (Å): 7.619 7.619 3.785
angles (deg): 90.00 90.00 90.00
Space group P4/mbm (No. 127)
Symmetry-distinct sites (fractional):
Y  0.160  0.340  0.000 [4 per cell]
As  0.000  0.000  0.000 [2 per cell]
P  0.148  0.648  0.500 [4 per cell]

---

If we sort the structures by their calculated energies, the order from most to least stable is (1), (2).

---

(1)
A relaxed ZnAsP crystal, computed with GGA-PBE.

Output
DOS at the Fermi energy, states/eV/atom: 0.345
Magnetic moment, μB/cell: 0.00

a b c (Å): 2.620 4.679 10.454
angles (deg): 90.00 90.00 90.00
Space group Imm2 (No. 44)
Symmetry-distinct sites (fractional):
Zn  0.000  0.000  0.000 [2 per cell]
As  0.000  0.000  0.270 [2 per cell]
P  0.000  0.000  0.493 [2 per cell]

---

(2)
A relaxed ZnAsP crystal, computed with GGA-PBE.

Output
DOS at the Fermi energy, states/eV/atom: 0.343
Magnetic moment, μB/cell: 0.00

a b c (Å): 3.786 4.661 11.454
angles (deg): 90.00 90.00 90.00
Space group Fmm2 (No. 42)
Symmetry-distinct sites (fractional):
Zn  0.000  0.000  0.000 [4 per cell]
As  0.000  0.000  0.325 [4 per cell]
P  0.000  0.000  0.648 [4 per cell]

---

(3)
A relaxed ZnAsP crystal, computed with GGA-PBE.

Output
DOS at the Fermi energy, states/eV/atom: 0.512
Magnetic moment, μB/cell: 0.00

a b c (Å): 4.7334 4.7334 2.7045
angles (deg): 90.00 90.00 120.00
Space group P-6m2 (No. 187)
Symmetry-distinct sites (fractional):
Zn  0.0000  0.0000  0.0000 [1 per cell]
As  0.6667  0.3333  0.0000 [1 per cell]
P  0.3333  0.6667  0.0000 [1 per cell]

---

If we sort the structures by their calculated energies, the order from most to least stable is (3), (1), (2).